# Tm2CrBiO6

Crystalline Tm2CrBiO6 at its relaxed geometry (PBE+U, Alexandria).

Computed properties:
Symmetry   P4mm
ρ   7.6 g/cm³
Energy   -7.214 eV/atom

Unit cell a=5.3727 b=5.3307 c=5.3307 alpha=90.00 beta=90.00 gamma=90.00
Last column: nearest neighbours and their distance in Å.
Element x y z (fractional)
Bi (0.5388, 0.5000, 0.5000)  5 O 2.25-2.26
O (0.2428, 0.0000, 0.0000)  1 Cr 1.96
Tm (0.9693, 0.0000, 0.5000)  4 O 2.23
O (0.7494, 0.2406, 0.7594)  1 Cr 1.97
O (0.7494, 0.2406, 0.2406)  1 Cr 1.97
Tm (0.9693, 0.5000, 0.0000)  4 O 2.23
O (0.1208, 0.5000, 0.5000)  1 Bi 2.25
Cr (0.6080, 0.0000, 0.0000)  5 O 1.96-1.97
O (0.7494, 0.7594, 0.7594)  1 Cr 1.97
O (0.7494, 0.7594, 0.2406)  1 Cr 1.97